This record from the Alexandria database describes a relaxed structure of TaReTe4. The functional is PBE-GGA.

Values from the calculation:
The calculation puts the volume at 28.0 Å³/atom. The theoretical density comes out at 8.68 g cm⁻³. As for the uncorrected formation energy: -0.22 eV/atom.

a = 3.5337 Å, b = 7.8701 Å, c = 6.3541 Å
α = 102.38°, β = 90.00°, γ = 102.98°
Element x y z (fractional)
Ta  0.5072  0.0146  0.4338
Re  0.9933  0.9865  0.0657
Te  0.8992  0.7985  0.6307
Te  0.1417  0.2834  0.3986
Te  0.3616  0.7234  0.0910
Te  0.5968  0.1936  0.8800

=====

This record from the Alexandria database describes a relaxed structure of TaReTe2. The functional is PBE-GGA.

Values from the calculation:
The calculation puts the volume at 21.6 Å³/atom. The theoretical density comes out at 11.99 g cm⁻³. As for the uncorrected formation energy: 0.70 eV/atom.

a = 9.4233 Å, b = 9.4233 Å, c = 9.4233 Å
α = 20.07°, β = 20.07°, γ = 20.07°
Element x y z (fractional)
Re  0.0000  0.0000  0.0000
Te  0.9074  0.9074  0.9074
Te  0.0926  0.0926  0.0926
Ta  0.5000  0.5000  0.5000

=====

This record from the Alexandria database describes a relaxed structure of TaRe2Te. The functional is PBE-GGA.

Values from the calculation:
The calculation puts the volume at 17.1 Å³/atom. The theoretical density comes out at 16.56 g cm⁻³. As for the uncorrected formation energy: 0.45 eV/atom.

a = 5.4283 Å, b = 5.4283 Å, c = 5.4283 Å
α = 145.60°, β = 130.23°, γ = 61.91°
Element x y z (fractional)
Re  0.0051  0.0051  0.0000
Re  0.7592  0.2592  0.5000
Ta  0.4923  0.4923  0.0000
Te  0.2434  0.7434  0.5000

=====

This record from the Alexandria database describes a relaxed structure of TaReTe2. The functional is PBE-GGA.

Values from the calculation:
The calculation puts the volume at 19.6 Å³/atom. The theoretical density comes out at 13.19 g cm⁻³. As for the uncorrected formation energy: 0.58 eV/atom.

a = 8.8665 Å, b = 8.8665 Å, c = 8.8665 Å
α = 21.00°, β = 21.00°, γ = 21.00°
Element x y z (fractional)
Re  0.2500  0.2500  0.2500
Ta  0.7500  0.7500  0.7500
Te  0.9962  0.9962  0.9962
Te  0.5038  0.5038  0.5038

=====

This record from the Alexandria database describes a relaxed structure of Ta2ReTe. The functional is PBE-GGA.

Values from the calculation:
The calculation puts the volume at 18.1 Å³/atom. The theoretical density comes out at 15.51 g cm⁻³. As for the uncorrected formation energy: 0.23 eV/atom.

a = 5.5995 Å, b = 5.5995 Å, c = 4.5152 Å
α = 66.32°, β = 66.32°, γ = 34.28°
Element x y z (fractional)
Re  0.2508  0.2508  0.2467
Ta  0.9884  0.9884  0.0140
Ta  0.7476  0.7476  0.7505
Te  0.5132  0.5132  0.4888

=====

This record from the Alexandria database describes a relaxed structure of TaRe2Te. The functional is PBE-GGA.

Values from the calculation:
The calculation puts the volume at 17.3 Å³/atom. The theoretical density comes out at 16.33 g cm⁻³. As for the uncorrected formation energy: 0.27 eV/atom.

a = 3.2511 Å, b = 3.2511 Å, c = 6.5522 Å
α = 90.00°, β = 90.00°, γ = 90.00°
Element x y z (fractional)
Re  0.0000  0.0000  0.0119
Re  0.0000  0.0000  0.4881
Ta  0.5000  0.5000  0.2500
Te  0.5000  0.5000  0.7500

=====

This record from the Alexandria database describes a relaxed structure of TaRe2Te. The functional is PBE-GGA.

Values from the calculation:
The calculation puts the volume at 17.6 Å³/atom. The theoretical density comes out at 16.03 g cm⁻³. As for the uncorrected formation energy: 0.47 eV/atom.

a = 4.8022 Å, b = 4.8022 Å, c = 5.0127 Å
α = 79.95°, β = 79.95°, γ = 38.39°
Element x y z (fractional)
Re  0.0144  0.0144  0.9774
Re  0.4856  0.4856  0.5226
Ta  0.7500  0.7500  0.7500
Te  0.2500  0.2500  0.2500

=====

This record from the Alexandria database describes a relaxed structure of TaReTe2. The functional is PBE-GGA.

Values from the calculation:
The calculation puts the volume at 24.0 Å³/atom. The theoretical density comes out at 10.78 g cm⁻³. As for the uncorrected formation energy: 0.17 eV/atom.

a = 10.3264 Å, b = 10.3264 Å, c = 10.3264 Å
α = 18.40°, β = 18.40°, γ = 18.40°
Element x y z (fractional)
Re  0.4883  0.4883  0.4883
Ta  0.7629  0.7629  0.7629
Te  0.0224  0.0224  0.0224
Te  0.2264  0.2264  0.2264

=====

This record from the Alexandria database describes a relaxed structure of Ta2ReTe. The functional is PBE-GGA.

Values from the calculation:
The calculation puts the volume at 18.5 Å³/atom. The theoretical density comes out at 15.19 g cm⁻³. As for the uncorrected formation energy: 0.26 eV/atom.

a = 4.6181 Å, b = 3.1244 Å, c = 5.2741 Å
α = 76.11°, β = 90.00°, γ = 90.00°
Element x y z (fractional)
Re  0.5000  0.6639  0.7808
Ta  0.0000  0.9852  0.9668
Ta  0.5000  0.1938  0.2553
Te  0.0000  0.6571  0.4971

=====

This record from the Alexandria database describes a relaxed structure of TaRe4Te. The functional is PBE-GGA.

Values from the calculation:
The calculation puts the volume at 17.4 Å³/atom. The theoretical density comes out at 16.80 g cm⁻³. As for the uncorrected formation energy: 0.53 eV/atom.

a = 5.2807 Å, b = 5.2807 Å, c = 5.2807 Å
α = 60.00°, β = 60.00°, γ = 60.00°
Element x y z (fractional)
Ta  0.7500  0.7500  0.7500
Re  0.3750  0.8750  0.3750
Re  0.8750  0.3750  0.3750
Re  0.3750  0.3750  0.8750
Re  0.3750  0.3750  0.3750
Te  0.0000  0.0000  0.0000

=====

This record from the Alexandria database describes a relaxed structure of TaRe2Te. The functional is PBE-GGA.

Values from the calculation:
The calculation puts the volume at 17.3 Å³/atom. The theoretical density comes out at 16.31 g cm⁻³. As for the uncorrected formation energy: 0.39 eV/atom.

a = 5.1534 Å, b = 5.1534 Å, c = 4.6978 Å
α = 74.02°, β = 74.02°, γ = 35.48°
Element x y z (fractional)
Re  0.0068  0.0068  0.9443
Re  0.7361  0.7361  0.8147
Ta  0.4994  0.4994  0.4713
Te  0.2577  0.2577  0.2697

=====

This record from the Alexandria database describes a relaxed structure of Ta2ReTe. The functional is PBE-GGA.

Values from the calculation:
The calculation puts the volume at 18.0 Å³/atom. The theoretical density comes out at 15.56 g cm⁻³. As for the uncorrected formation energy: 0.44 eV/atom.

a = 4.6716 Å, b = 4.6716 Å, c = 4.6716 Å
α = 60.00°, β = 60.00°, γ = 60.00°
Element x y z (fractional)
Re  0.5000  0.5000  0.5000
Ta  0.0000  0.0000  0.0000
Ta  0.2500  0.2500  0.2500
Te  0.7500  0.7500  0.7500

=====

This record from the Alexandria database describes a relaxed structure of TaReTe2. The functional is PBE-GGA.

Values from the calculation:
The calculation puts the volume at 19.9 Å³/atom. The theoretical density comes out at 12.97 g cm⁻³. As for the uncorrected formation energy: 0.76 eV/atom.

a = 5.1942 Å, b = 5.1942 Å, c = 5.1942 Å
α = 130.28°, β = 130.28°, γ = 72.97°
Element x y z (fractional)
Re  0.5000  0.5000  0.0000
Ta  0.7500  0.2500  0.5000
Te  0.0000  0.0000  0.0000
Te  0.2500  0.7500  0.5000

=====

This record from the Alexandria database describes a relaxed structure of Ta4ReTe. The functional is PBE-GGA.

Values from the calculation:
The calculation puts the volume at 19.0 Å³/atom. The theoretical density comes out at 15.10 g cm⁻³. As for the uncorrected formation energy: 0.57 eV/atom.

a = 5.4448 Å, b = 5.4448 Å, c = 5.4448 Å
α = 60.00°, β = 60.00°, γ = 60.00°
Element x y z (fractional)
Ta  0.8764  0.3745  0.3745
Ta  0.3745  0.3745  0.8764
Ta  0.3745  0.8764  0.3745
Ta  0.3745  0.3745  0.3745
Re  0.0000  0.0000  0.0000
Te  0.7500  0.7500  0.7500

=====

This record from the Alexandria database describes a relaxed structure of TaReTe2. The functional is PBE-GGA.

Values from the calculation:
The calculation puts the volume at 20.5 Å³/atom. The theoretical density comes out at 12.59 g cm⁻³. As for the uncorrected formation energy: 0.98 eV/atom.

a = 4.8784 Å, b = 4.8784 Å, c = 4.8784 Å
α = 60.00°, β = 60.00°, γ = 60.00°
Each line ends with the local moment (μB).
Element x y z (fractional)
Re  0.5000  0.5000  0.5000  0.67
Ta  0.7500  0.7500  0.7500  -0.02
Te  0.0000  0.0000  0.0000  0.05
Te  0.2500  0.2500  0.2500  0.02